No. 1
Here is crystalline Nd4NiSn8 at its relaxed geometry from Alexandria. Energies are from PBE.

```
13
Lattice="4.4734 0.0000 0.0000 0.0000 4.5359 0.0000 0.0000 0.0000 17.1604" Properties=species:S:1:pos:R:3 pbc="T T T"
Nd 2.2367 0.0000 15.4261
Nd 2.2367 2.2680 6.8062
Nd 0.0000 2.2680 10.3597
Nd 0.0000 0.0000 1.6945
Sn 2.2367 0.0000 4.0950
Sn 0.0000 0.0000 12.8666
Sn 2.2367 2.2680 12.9306
Sn 0.0000 2.2680 16.0562
Sn 0.0000 2.2680 4.1102
Sn 2.2367 2.2680 0.9397
Sn 2.2367 0.0000 9.7628
Sn 0.0000 0.0000 7.8085
Ni 0.0000 0.0000 5.3061
```

Output
For the calculated volume, the calculation gives 348 Å³/cell. As for the uncorrected energy: -5.01 eV/atom. Its density is 7560 kg/m³. The formation enthalpy at 0 K is -0.63 eV per atom.

=====

No. 2
Here is crystalline NdNi4Sn at its relaxed geometry from Alexandria. Energies are from PBE.

```
12
Lattice="-0.5166 3.2364 -2.2869 2.7706 -2.6935 -4.4377 -6.9203 -4.6365 -1.5065" Properties=species:S:1:pos:R:3 pbc="T T T"
Ni -4.8607 -2.2551 -2.0934
Ni -0.2583 1.6182 -1.1434
Ni -3.7789 -3.3068 -3.8261
Ni -5.6461 -1.6118 -4.4974
Ni 0.1944 -1.8386 -6.1377
Ni -0.8873 -0.7869 -4.4050
Ni 0.9798 -2.4819 -3.7337
Ni 1.1270 0.2714 -3.3623
Sn -3.3729 -0.6560 -3.6583
Sn -1.2934 -3.4377 -4.5728
Nd -0.6575 -1.2411 -1.6078
Nd -4.0087 -2.8526 -6.6232
```

Output
For the calculated volume, the calculation gives 193 Å³/cell. As for the uncorrected energy: -5.52 eV/atom. Its density is 8545 kg/m³. The formation enthalpy at 0 K is -0.21 eV per atom.

=====

No. 3
Here is crystalline NdNi4Sn4 at its relaxed geometry from Alexandria. Energies are from PBE.

```
18
Lattice="6.3723 0.0000 0.0000 0.0000 6.3723 0.0000 0.0000 0.0000 8.5144" Properties=species:S:1:pos:R:3 pbc="T T T"
Ni 0.0000 1.9510 5.5683
Ni 1.2351 3.1862 1.3111
Ni 4.4213 0.0000 2.9461
Ni 0.0000 4.4213 5.5683
Ni 3.1862 5.1372 7.2033
Ni 1.9510 0.0000 2.9461
Ni 3.1862 1.2351 7.2033
Ni 5.1372 3.1862 1.3111
Nd 3.1862 3.1862 4.2572
Nd 0.0000 0.0000 0.0000
Sn 4.7145 0.0000 5.4910
Sn 3.1862 4.8440 1.2338
Sn 1.6578 0.0000 5.4910
Sn 0.0000 4.7145 3.0234
Sn 4.8440 3.1862 7.2806
Sn 3.1862 1.5284 1.2338
Sn 1.5284 3.1862 7.2806
Sn 0.0000 1.6578 3.0234
```

Output
For the calculated volume, the calculation gives 346 Å³/cell. As for the uncorrected energy: -5.18 eV/atom. Its density is 8202 kg/m³. The formation enthalpy at 0 K is -0.30 eV per atom.

=====

No. 4
Here is crystalline NdNi4Sn12 at its relaxed geometry from Alexandria. Energies are from PBE.

```
17
Lattice="-2.1435 1.1834 7.6276 -6.4528 -1.9931 -4.3087 5.3904 -5.9144 -0.3721" Properties=species:S:1:pos:R:3 pbc="T T T"
Sn 0.1854 -3.4510 -0.3617
Sn -2.8611 -4.9972 -0.0488
Sn -3.0694 -1.5943 0.3340
Sn -0.1364 -5.1298 2.6128
Sn -5.8821 -1.8592 1.4199
Sn -3.9234 -3.4493 -2.4227
Sn -0.3448 -1.7269 2.9956
Sn 2.6762 -4.8649 1.5269
Sn -0.1622 -6.0383 -1.8932
Sn -3.3913 -3.2731 3.3086
Sn 0.7176 -3.2748 5.3696
Sn -3.0437 -0.6858 4.8401
Ni 2.6952 -2.9572 -0.1860
Ni -1.6029 -3.3621 1.4734
Ni -3.2264 -0.9966 -2.1543
Ni -1.0718 0.5917 3.8138
Nd 0.0000 0.0000 0.0000
```

Output
For the calculated volume, the calculation gives 396 Å³/cell. As for the uncorrected energy: -4.69 eV/atom. Its density is 7567 kg/m³. The formation enthalpy at 0 K is -0.22 eV per atom.

=====

No. 5
Here is crystalline Nd3NiSn at its relaxed geometry from Alexandria. Energies are from PBE.

```
10
Lattice="-1.9729 2.7375 1.8439 3.9729 -4.1518 6.4016 6.8107 5.5937 -1.0207" Properties=species:S:1:pos:R:3 pbc="T T T"
Nd 7.1529 1.2721 5.6319
Nd 3.3251 1.8117 0.7321
Nd 3.6068 2.1050 4.6065
Nd 2.0729 -1.3879 8.1529
Nd 1.7899 -1.6815 4.2777
Nd 5.0545 4.7472 2.2282
Sn 4.5228 -0.8096 5.9040
Sn 0.8748 1.2333 2.9808
Ni 5.9896 2.2164 2.9805
Ni 6.2140 3.8028 4.8770
```

Output
For the calculated volume, the calculation gives 286 Å³/cell. As for the uncorrected energy: -5.22 eV/atom. Its density is 7088 kg/m³. The formation enthalpy at 0 K is -0.40 eV per atom.

=====

No. 6
Here is crystalline NdNi5Sn at its relaxed geometry from Alexandria. Energies are from PBE.

```
28
Lattice="4.9277 0.0000 0.0000 -2.4638 4.2675 0.0000 0.0000 0.0000 19.7622" Properties=species:S:1:pos:R:3 pbc="T T T"
Ni 2.4638 1.4225 9.0201
Ni 0.0000 1.4174 16.8708
Ni 1.2364 3.5588 12.7725
Ni 0.0000 2.8450 14.8216
Ni 2.4638 1.4225 0.8610
Ni 1.2275 0.7087 6.9897
Ni 0.0000 2.8450 10.7421
Ni 0.0000 0.0000 14.8216
Ni 3.7002 0.7087 6.9897
Ni 0.0000 0.0000 4.9405
Ni -1.2364 3.5588 12.7725
Ni -1.2364 3.5588 16.8708
Ni 2.4638 2.8501 6.9897
Ni 1.2364 3.5588 16.8708
Ni 0.0000 2.8450 18.9012
Ni 2.4638 1.4225 4.9405
Ni 1.2275 0.7087 2.8914
Ni 2.4638 2.8501 2.8914
Ni 3.7002 0.7087 2.8914
Ni 0.0000 1.4174 12.7725
Nd 0.0000 2.8450 4.9405
Nd 0.0000 0.0000 0.0000
Nd 0.0000 0.0000 9.8811
Nd 2.4638 1.4225 14.8216
Sn 2.4638 1.4225 18.0358
Sn 0.0000 2.8450 8.1547
Sn 0.0000 2.8450 1.7264
Sn 2.4638 1.4225 11.6075
```

Output
For the calculated volume, the calculation gives 416 Å³/cell. As for the uncorrected energy: -5.72 eV/atom. Its density is 8893 kg/m³. The formation enthalpy at 0 K is -0.33 eV per atom.

=====

No. 7
Here is crystalline NdNiSn2 at its relaxed geometry from Alexandria. Energies are from PBE.

```
4
Lattice="3.4385 0.0000 0.0000 1.7192 2.9778 0.0000 1.7192 0.9926 9.9955" Properties=species:S:1:pos:R:3 pbc="T T T"
Sn 1.7192 0.9926 6.7576
Sn 5.1577 2.9778 3.2379
Ni 3.4385 1.9852 4.9978
Nd 0.0000 0.0000 0.0000
```

Output
For the calculated volume, the calculation gives 102 Å³/cell. As for the uncorrected energy: -4.59 eV/atom. Its density is 7145 kg/m³. The formation enthalpy at 0 K is 0.05 eV per atom.

=====

No. 8
Here is crystalline Nd2NiSn6 at its relaxed geometry from Alexandria. Energies are from PBE.

```
9
Lattice="4.3888 0.0000 -0.8360 0.0000 4.4716 0.0000 0.0102 0.0000 11.9913" Properties=species:S:1:pos:R:3 pbc="T T T"
Sn 3.1635 0.0000 4.6693
Sn 0.9698 2.2358 5.0909
Sn 0.4249 2.2358 2.2305
Sn 2.6204 0.0000 1.8181
Sn 3.8655 2.2358 8.3546
Sn 2.0251 2.2358 10.6310
Nd 1.4632 0.0000 7.6811
Nd 4.3656 0.0000 10.9801
Ni 3.4014 2.2358 5.9180
```

Output
For the calculated volume, the calculation gives 235 Å³/cell. As for the uncorrected energy: -4.88 eV/atom. Its density is 7474 kg/m³. The formation enthalpy at 0 K is -0.51 eV per atom.